No. 1
# La4Sm4Ho, optimized geometry, DFT PBE-GGA
data_La4Sm4Ho
_chemical_formula_sum 'La16 Sm16 Ho4'
_symmetry_space_group_name_H-M 'F m m 2'
_symmetry_Int_Tables_number 42
_symmetry_space_group_name_Hall 'F 2 -2'
_cell_length_a 6.622
_cell_length_b 8.291
_cell_length_c 24.496
_cell_angle_alpha 90.00
_cell_angle_beta 90.00
_cell_angle_gamma 90.00
loop_
_atom_site_label
_atom_site_type_symbol
_atom_site_fract_x
_atom_site_fract_y
_atom_site_fract_z
La1 La 0.000 0.000 0.000
La2 La 0.000 0.000 0.464
La3 La 0.250 0.250 0.228
Sm1 Sm 0.000 0.174 0.872
Sm2 Sm 0.242 0.000 0.612
Ho1 Ho 0.000 0.000 0.320
# * ΔH_f (0 K): 0.448 eV/atom
# * offset from the most stable computed form: 0.427 eV/atom

No. 2
# Ta2AuCl, optimized geometry, DFT PBE-GGA
data_Ta2AuCl
_chemical_formula_sum 'Ta8 Au4 Cl4'
_symmetry_space_group_name_H-M 'F -4 3 m'
_symmetry_Int_Tables_number 216
_symmetry_space_group_name_Hall 'F -4 2 3'
_cell_length_a 6.720
_cell_length_b 6.720
_cell_length_c 6.720
_cell_angle_alpha 90.00
_cell_angle_beta 90.00
_cell_angle_gamma 90.00
loop_
_atom_site_label
_atom_site_type_symbol
_atom_site_fract_x
_atom_site_fract_y
_atom_site_fract_z
Ta1 Ta 0.000 0.000 0.000
Ta2 Ta 0.250 0.250 0.250
Au1 Au 0.000 0.000 0.500
Cl1 Cl 0.250 0.250 0.750
# * offset from the most stable computed form: 1.058 eV/atom